No. 1
The following is a SCAN calculation of CuBi3Br at its PBEsol-relaxed geometry, from the Alexandria database.

## Properties
mass density	7.3	g cm⁻³
V	174.7	Å³ per cell
E_form (uncorrected)	1.359	eV per atom

Cell lengths 5.591, 5.591, 5.591 Å; angles 90.00, 90.00, 90.00 degrees
Space group Pm-3m (No. 221)
Asymmetric unit:
1 Cu 0.000 0.000 0.000 (multiplicity 1)
2 Bi 0.000 0.500 0.500 (multiplicity 3)
3 Br 0.500 0.500 0.500 (multiplicity 1)

=====

No. 2
The following is a SCAN calculation of CuBiSe2Br at its PBEsol-relaxed geometry, from the Alexandria database.

## Properties
mass density	7.7	g cm⁻³
V	110.7	Å³ per cell
E_form (uncorrected)	0.124	eV per atom

Cell lengths 4.814, 4.814, 4.776 Å; angles 90.00, 90.00, 90.00 degrees
Space group P4/mmm (No. 123)
Asymmetric unit:
1 Cu 0.000 0.000 0.000 (multiplicity 1)
2 Bi 0.500 0.500 0.500 (multiplicity 1)
3 Se 0.000 0.500 0.000 (multiplicity 2)
4 Br 0.000 0.000 0.500 (multiplicity 1)

=====

No. 3
The following is a SCAN calculation of DyBi2BrO4 at its PBEsol-relaxed geometry, from the Alexandria database.

## Properties
mass density	8.9	g cm⁻³
V	135.5	Å³ per cell
E_form (uncorrected)	-2.076	eV per atom

Cell lengths 3.864, 3.864, 9.077 Å; angles 90.00, 90.00, 90.00 degrees
Space group P4/mmm (No. 123)
Asymmetric unit:
1 Dy 0.000 0.000 0.000 (multiplicity 1)
2 Bi 0.500 0.500 0.273 (multiplicity 2)
3 Br 0.000 0.000 0.500 (multiplicity 1)
4 O 0.000 0.500 0.150 (multiplicity 4)

=====

No. 4
The following is a SCAN calculation of EuBi2BrO4 at its PBEsol-relaxed geometry, from the Alexandria database.

## Properties
mass density	8.5	g cm⁻³
V	139.1	Å³ per cell
E_form (uncorrected)	-1.806	eV per atom

Cell lengths 3.897, 3.897, 9.156 Å; angles 90.00, 90.00, 90.00 degrees
Space group P4/mmm (No. 123)
Asymmetric unit:
1 Eu 0.000 0.000 0.000 (multiplicity 1)
2 Bi 0.500 0.500 0.276 (multiplicity 2)
3 Br 0.000 0.000 0.500 (multiplicity 1)
4 O 0.000 0.500 0.156 (multiplicity 4)

=====

No. 5
The following is a SCAN calculation of BiBr2F at its PBEsol-relaxed geometry, from the Alexandria database.

## Properties
mass density	5.7	g cm⁻³
V	339.4	Å³ per cell
E_form (uncorrected)	-0.413	eV per atom

Cell lengths 3.9517, 3.9517, 25.0950 Å; angles 90.00, 90.00, 120.00 degrees
Space group R-3m (No. 166, hexagonal axes)
Asymmetric unit:
1 Bi 0.0000 0.0000 0.0000 (multiplicity 3)
2 Br 0.0000 0.0000 0.4091 (multiplicity 6)
3 F 0.0000 0.0000 0.5000 (multiplicity 3)

=====

No. 6
The following is a SCAN calculation of Bi2BrF at its PBEsol-relaxed geometry, from the Alexandria database.

## Properties
mass density	8.3	g cm⁻³
V	412.8	Å³ per cell
E_form (uncorrected)	-0.633	eV per atom

Cell lengths 4.691, 4.691, 18.757 Å; angles 90.00, 90.00, 90.00 degrees
Space group I-42d (No. 122)
Asymmetric unit:
1 Bi 0.207 0.250 0.125 (multiplicity 8)
2 Br 0.000 0.000 0.500 (multiplicity 4)
3 F 0.000 0.000 0.000 (multiplicity 4)

=====

No. 7
The following is a SCAN calculation of Ga2BiBrF at its PBEsol-relaxed geometry, from the Alexandria database.

## Properties
mass density	5.0	g cm⁻³
V	148.2	Å³ per cell
E_form (uncorrected)	-0.445	eV per atom

Cell lengths 5.756, 5.756, 4.472 Å; angles 90.00, 90.00, 90.00 degrees
Space group P4/mmm (No. 123)
Asymmetric unit:
1 Ga 0.000 0.500 0.000 (multiplicity 2)
2 Bi 0.000 0.000 0.000 (multiplicity 1)
3 Br 0.500 0.500 0.500 (multiplicity 1)
4 F 0.000 0.000 0.500 (multiplicity 1)

=====

No. 8
The following is a SCAN calculation of BiBrOF2 at its PBEsol-relaxed geometry, from the Alexandria database.

## Properties
mass density	6.5	g cm⁻³
V	88.2	Å³ per cell
E_form (uncorrected)	-1.015	eV per atom

Cell lengths 4.457, 4.457, 4.439 Å; angles 90.00, 90.00, 90.00 degrees
Space group P4/mmm (No. 123)
Asymmetric unit:
1 Bi 0.000 0.000 0.000 (multiplicity 1)
2 Br 0.500 0.500 0.500 (multiplicity 1)
3 O 0.000 0.000 0.500 (multiplicity 1)
4 F 0.000 0.500 0.000 (multiplicity 2)

=====

Number 1: total moment 0.0 μB/cell. Number 2: total moment 0.0 μB/cell. Number 3: total moment 0.0 μB/cell. Number 4: total moment 6.0 μB/cell. Number 5: total moment 0.0 μB/cell. Number 6: total moment 0.0 μB/cell. Number 7: total moment 0.0 μB/cell. Number 8: total moment 1.6 μB/cell.